This record from the Alexandria database describes a relaxed Ba2Zn2Ir crystal. The functional is PBE-GGA.

## Properties
energy of formation: 19 kJ/mol of formula units
magnetic moment: 0.01 μB/f.u.
crystal system: tetragonal
uncorrected energy: -3.01 eV/atom
space-group type: P4/mbm
DOS(E_F): 3.58 states/eV/f.u.

Geometry as POSCAR:
```
Ba2Zn2Ir
1.0
7.097 0.000 0.000
0.000 7.097 0.000
0.000 0.000 5.218
Ba Zn Ir
4 4 2
Direct
0.187 0.313 0.000 Ba
0.313 0.813 0.000 Ba
0.687 0.187 0.000 Ba
0.813 0.687 0.000 Ba
0.138 0.638 0.500 Zn
0.362 0.138 0.500 Zn
0.638 0.862 0.500 Zn
0.862 0.362 0.500 Zn
0.000 0.000 0.500 Ir
0.500 0.500 0.500 Ir
```